# Ru3Rh (GGA-PBEsol, optimized geometry)
data_Ru3Rh
_chemical_formula_sum 'Ru6 Rh2'
_space_group_name_H-M_alt 'C m m m'
_space_group_IT_number 65
_space_group_name_Hall '-C 2 2'
_cell_length_a 5.320
_cell_length_b 7.550
_cell_length_c 2.657
_cell_angle_alpha 90.00
_cell_angle_beta 90.00
_cell_angle_gamma 90.00
loop_
_atom_site_label
_atom_site_type_symbol
_atom_site_fract_x
_atom_site_fract_y
_atom_site_fract_z
Ru1 Ru 0.000 0.000 0.000
Ru2 Ru 0.250 0.250 0.500
Rh1 Rh 0.000 0.500 0.000
# - Formation enthalpy at 0 K: 0.08 eV per atom

---

# LaAlCo2 (GGA-PBEsol, optimized geometry)
data_LaAlCo2
_chemical_formula_sum 'La2 Al2 Co4'
_space_group_name_H-M_alt 'I -4 m 2'
_space_group_IT_number 119
_space_group_name_Hall 'I -4 -2'
_cell_length_a 3.662
_cell_length_b 3.662
_cell_length_c 9.451
_cell_angle_alpha 90.00
_cell_angle_beta 90.00
_cell_angle_gamma 90.00
loop_
_atom_site_label
_atom_site_type_symbol
_atom_site_fract_x
_atom_site_fract_y
_atom_site_fract_z
La1 La 0.000 0.000 0.000
Al1 Al 0.000 0.500 0.250
Co1 Co 0.000 0.000 0.500
Co2 Co 0.000 0.500 0.750
# - Formation enthalpy at 0 K: 0.13 eV per atom

---

# Zr2Ga2Rh (GGA-PBEsol, optimized geometry)
data_Zr2Ga2Rh
_chemical_formula_sum 'Zr4 Ga4 Rh2'
_space_group_name_H-M_alt 'P 4/m b m'
_space_group_IT_number 127
_space_group_name_Hall '-P 4 2ab'
_cell_length_a 6.560
_cell_length_b 6.560
_cell_length_c 3.986
_cell_angle_alpha 90.00
_cell_angle_beta 90.00
_cell_angle_gamma 90.00
loop_
_atom_site_label
_atom_site_type_symbol
_atom_site_fract_x
_atom_site_fract_y
_atom_site_fract_z
Zr1 Zr 0.172 0.328 0.000
Ga1 Ga 0.134 0.634 0.500
Rh1 Rh 0.000 0.000 0.500
# - Formation enthalpy at 0 K: -0.75 eV per atom